[1]
Nb2AlVH (PBE-GGA, optimized geometry); SG = P4/mmm; VASP energy = -7.459 eV per atom
1.0
-3.7701 -1.5134 1.2715
1.9589 -3.2261 1.9686
0.2320 2.0483 3.1259
H V Al Nb
1 1 1 2
direct
0.0000 0.0000 0.0000 H
0.0000 0.0000 0.5000 V
0.5000 0.5000 0.5000 Al
0.0000 0.5000 0.0000 Nb
0.5000 0.0000 0.0000 Nb



[2]
Nb2AlHW (PBE-GGA, optimized geometry); SG = P4/mmm; VASP energy = -8.126 eV per atom
1.0
4.2474 0.0000 0.0000
0.0000 4.2474 0.0000
0.0000 0.0000 3.9017
Nb Al H W
2 1 1 1
direct
0.5000 0.0000 0.0000 Nb
0.0000 0.5000 0.0000 Nb
0.5000 0.5000 0.5000 Al
0.0000 0.0000 0.0000 H
0.0000 0.0000 0.5000 W



[3]
Nd3AlH (PBE-GGA, optimized geometry); SG = Pm-3m; VASP energy = -4.542 eV per atom
1.0
-4.5698 -1.2598 -1.4001
1.6134 -0.7229 -4.6157
0.9717 -4.7245 1.0796
Nd H Al
3 1 1
direct
0.5000 0.0000 0.0000 Nd
0.0000 0.0000 0.5000 Nd
0.0000 0.5000 0.0000 Nd
0.0000 0.0000 0.0000 H
0.5000 0.5000 0.5000 Al



[4]
Nd4Al2H (PBE-GGA, optimized geometry); SG = I4/mmm; VASP energy = -4.512 eV per atom
1.0
4.7111 0.0000 0.0000
0.0000 4.7111 0.0000
-2.3555 -2.3555 8.3698
Nd Al H
4 2 1
direct
0.8198 0.8198 0.6396 Nd
0.1802 0.1802 0.3604 Nd
0.5000 0.0000 0.0000 Nd
0.0000 0.5000 0.0000 Nd
0.6336 0.6336 0.2672 Al
0.3664 0.3664 0.7328 Al
0.0000 0.0000 0.0000 H



[5]
NdAlH5 (PBE-GGA, optimized geometry); SG = C2/c; VASP energy = -3.797 eV per atom
1.0
4.2441 0.2995 1.3560
1.2495 4.0670 1.3560
0.5796 0.4607 8.2973
H Nd Al
10 2 2
direct
0.0192 0.3913 0.3608 H
0.4375 0.8152 0.4472 H
0.5625 0.1848 0.5528 H
0.9621 0.0379 0.7500 H
0.1848 0.5625 0.0528 H
0.9808 0.6087 0.6392 H
0.6087 0.9808 0.1392 H
0.8152 0.4375 0.9472 H
0.0379 0.9621 0.2500 H
0.3913 0.0192 0.8608 H
0.4411 0.5589 0.7500 Nd
0.5589 0.4411 0.2500 Nd
0.0000 0.0000 0.5000 Al
0.0000 0.0000 0.0000 Al



[6]
Nd12Al3H5 (PBE-GGA, optimized geometry); SG = Ia-3d; VASP energy = -4.462 eV per atom
1.0
-1.9142 8.1212 11.0341
1.3140 -13.1409 4.1186
11.4713 3.9110 -6.6697
H Nd Al
20 48 12
direct
0.5000 0.0000 0.5000 H
0.3750 0.2500 0.1250 H
0.2500 0.3750 0.6250 H
0.5000 0.5000 0.0000 H
0.0000 0.0000 0.5000 H
0.7500 0.6250 0.3750 H
0.0000 0.0000 0.0000 H
0.1250 0.7500 0.3750 H
0.8750 0.2500 0.6250 H
0.6250 0.8750 0.2500 H
0.5000 0.5000 0.5000 H
0.7500 0.1250 0.8750 H
0.3750 0.1250 0.7500 H
0.8750 0.6250 0.7500 H
0.5000 0.0000 0.0000 H
0.1250 0.3750 0.2500 H
0.2500 0.8750 0.1250 H
0.6250 0.7500 0.8750 H
0.0000 0.5000 0.0000 H
0.0000 0.5000 0.5000 H
0.6896 0.2091 0.5962 Nd
0.7909 0.4805 0.3871 Nd
0.0195 0.6129 0.7091 Nd
0.1896 0.0935 0.9805 Nd
0.0962 0.1896 0.2091 Nd
0.8104 0.9065 0.0195 Nd
0.3871 0.4065 0.0962 Nd
0.9065 0.8104 0.5195 Nd
0.0962 0.9065 0.3871 Nd
0.7909 0.3104 0.9038 Nd
0.2909 0.8871 0.9805 Nd
0.9065 0.0962 0.8871 Nd
0.8871 0.2909 0.4805 Nd
0.9805 0.3871 0.2909 Nd
0.9038 0.0935 0.6129 Nd
0.6129 0.5935 0.9038 Nd
0.5195 0.3104 0.9065 Nd
0.4065 0.3871 0.5962 Nd
0.3871 0.9805 0.7909 Nd
0.1896 0.0962 0.7091 Nd
0.5195 0.2091 0.1129 Nd
0.7091 0.5962 0.1896 Nd
0.5935 0.6129 0.4038 Nd
0.0195 0.4065 0.8104 Nd
0.8871 0.5962 0.9065 Nd
0.1129 0.4038 0.0935 Nd
0.9038 0.8104 0.7909 Nd
0.4065 0.0195 0.3104 Nd
0.3104 0.5195 0.4065 Nd
0.2091 0.5195 0.6129 Nd
0.0935 0.9038 0.1129 Nd
0.7091 0.1129 0.0195 Nd
0.4805 0.7909 0.8871 Nd
0.2909 0.4038 0.8104 Nd
0.5962 0.7091 0.6896 Nd
0.5962 0.8871 0.4065 Nd
0.5935 0.9805 0.6896 Nd
0.6896 0.4805 0.5935 Nd
0.8104 0.9038 0.2909 Nd
0.4805 0.6896 0.0935 Nd
0.1129 0.7091 0.5195 Nd
0.2091 0.6896 0.0962 Nd
0.4038 0.1129 0.5935 Nd
0.9805 0.5935 0.1896 Nd
0.4038 0.2909 0.3104 Nd
0.0935 0.1896 0.4805 Nd
0.3104 0.7909 0.4038 Nd
0.6129 0.0195 0.2091 Nd
0.8750 0.1250 0.2500 Al
0.3750 0.6250 0.2500 Al
0.2500 0.1250 0.3750 Al
0.6250 0.2500 0.3750 Al
0.3750 0.7500 0.6250 Al
0.8750 0.7500 0.1250 Al
0.7500 0.8750 0.6250 Al
0.2500 0.6250 0.8750 Al
0.7500 0.3750 0.1250 Al
0.6250 0.3750 0.7500 Al
0.1250 0.8750 0.7500 Al
0.1250 0.2500 0.8750 Al